# 1
Here is a relaxed Fe2ReI8 crystal from the Alexandria database. Energies are from PBE-GGA.

Computed properties:
Formation energy without anion corrections ... -13 meV per atom
M_tot ... 11.00 μB per formula unit
Crystal system ... monoclinic

POSCAR file:
```
Fe2ReI8
1.0
-0.093 6.255 -2.423
-5.798 2.014 6.167
3.989 2.593 7.284
I Re Fe
8 1 2
Cartesian
-3.721 6.581 3.523
2.042 6.922 4.181
1.819 4.282 7.504
-1.264 7.227 7.321
-3.944 3.941 6.846
-0.365 5.645 0.269
-1.537 5.217 10.758
-0.638 3.635 3.706
0.000 0.000 0.000
-0.332 3.198 1.250
-1.570 7.665 9.778
```

=====

# 2
Here is a relaxed Fe3ReI crystal from the Alexandria database. Energies are from PBE-GGA.

Computed properties:
Formation energy without anion corrections ... 1507 meV per atom
M_tot ... 7.64 μB per formula unit
Crystal system ... cubic

POSCAR file:
```
Fe3ReI
1.0
4.691 0.000 0.000
0.000 4.691 0.000
0.000 0.000 4.691
I Re Fe
1 1 3
Cartesian
2.345 2.345 2.345
0.000 0.000 0.000
0.000 2.345 0.000
0.000 0.000 2.345
2.345 0.000 0.000
```